# PuZnPtPb

Crystalline PuZnPtPb at its relaxed geometry (PBE, Alexandria via LeMat-Bulk).

Output
- V: 85.7 Å³/f.u.
- Total DFT energy (no corrections): -106.1 eV/cell
- Total magnetization: 21.53 Bohr magnetons per cell

Unit cell a=6.9998 b=6.9998 c=6.9998 alpha=90.00 beta=90.00 gamma=90.00
Last column: nearest neighbours and their distance in Å.
Fractional positions:
Pu1 0.0000 0.0000 0.0000  4 Zn 3.03, 4 Pt 3.03
Pu2 0.0000 0.5000 0.5000  4 Zn 3.03, 4 Pt 3.03
Pu3 0.5000 0.0000 0.5000  4 Zn 3.03, 4 Pt 3.03
Pu4 0.5000 0.5000 0.0000  4 Zn 3.03, 4 Pt 3.03
Zn1 0.2500 0.2500 0.7500  4 Pb 3.03, 4 Pu 3.03
Zn2 0.2500 0.7500 0.2500  4 Pb 3.03, 4 Pu 3.03
Zn3 0.7500 0.2500 0.2500  4 Pb 3.03, 4 Pu 3.03
Zn4 0.7500 0.7500 0.7500  4 Pb 3.03, 4 Pu 3.03
Pt1 0.2500 0.2500 0.2500  4 Pu 3.03, 4 Pb 3.03
Pt2 0.2500 0.7500 0.7500  4 Pb 3.03, 4 Pu 3.03
Pt3 0.7500 0.2500 0.7500  4 Pb 3.03, 4 Pu 3.03
Pt4 0.7500 0.7500 0.2500  4 Pb 3.03, 4 Pu 3.03
Pb1 0.0000 0.0000 0.5000  4 Pt 3.03, 4 Zn 3.03
Pb2 0.0000 0.5000 0.0000  4 Pt 3.03, 4 Zn 3.03
Pb3 0.5000 0.0000 0.0000  4 Pt 3.03, 4 Zn 3.03
Pb4 0.5000 0.5000 0.5000  4 Pt 3.03, 4 Zn 3.03

---

# RbPt2Pb4

Crystalline RbPt2Pb4 at its relaxed geometry (PBE, Alexandria via LeMat-Bulk).

Output
- V: 186.3 Å³/f.u.
- ΔE to the lowest computed polymorph: 0.000 eV per atom
- Total magnetization: 0.00 Bohr magnetons per cell

Unit cell a=20.1071 b=4.8355 c=7.6631 alpha=90.00 beta=90.00 gamma=90.00
Last column: nearest neighbours and their distance in Å.
Fractional positions:
Rb1 0.1411 0.2500 0.0036  8 Pb 3.43-3.69, 4 Pt 3.76-3.81
Rb2 0.3589 0.7500 0.5036  8 Pb 3.43-3.69, 4 Pt 3.76-3.81
Rb3 0.6411 0.2500 0.4964  8 Pb 3.43-3.69, 4 Pt 3.76-3.81
Rb4 0.8589 0.7500 0.9964  8 Pb 3.43-3.69, 4 Pt 3.76-3.81
Pt1 0.0349 0.7500 0.2545  7 Pb 2.90-3.06
Pt2 0.2126 0.2500 0.5132  7 Pb 2.90-3.05
Pt3 0.2874 0.7500 0.0132  7 Pb 2.90-3.05
Pt4 0.4651 0.2500 0.7545  7 Pb 2.90-3.06
Pt5 0.5349 0.7500 0.2455  7 Pb 2.90-3.06
Pt6 0.7126 0.2500 0.9868  7 Pb 2.90-3.05
Pt7 0.7874 0.7500 0.4868  7 Pb 2.90-3.05
Pt8 0.9651 0.2500 0.7455  7 Pb 2.90-3.06
Pb1 0.0317 0.7500 0.8579  3 Pt 2.90-3.04
Pb2 0.0688 0.2500 0.4827  4 Pt 2.90-3.06
Pb3 0.1827 0.7500 0.3010  4 Pt 2.98-3.05, 1 Pb 3.21
Pb4 0.1950 0.7500 0.7191  3 Pt 2.91-2.92, 1 Pb 3.21
Pb5 0.3050 0.2500 0.2191  3 Pt 2.91-2.92, 1 Pb 3.21
Pb6 0.3173 0.2500 0.8010  4 Pt 2.98-3.05, 1 Pb 3.21
Pb7 0.4312 0.7500 0.9827  4 Pt 2.90-3.06
Pb8 0.4683 0.2500 0.3579  3 Pt 2.90-3.04
Pb9 0.5317 0.7500 0.6421  3 Pt 2.90-3.04
Pb10 0.5688 0.2500 0.0173  4 Pt 2.90-3.06
Pb11 0.6827 0.7500 0.1990  4 Pt 2.98-3.05, 1 Pb 3.21
Pb12 0.6950 0.7500 0.7809  3 Pt 2.91-2.92, 1 Pb 3.21
Pb13 0.8050 0.2500 0.2809  3 Pt 2.91-2.92, 1 Pb 3.21
Pb14 0.8173 0.2500 0.6990  4 Pt 2.98-3.05, 1 Pb 3.21
Pb15 0.9312 0.7500 0.5173  4 Pt 2.90-3.06
Pb16 0.9683 0.2500 0.1421  3 Pt 2.90-3.04

---

# Rb2PtPb2

Crystalline Rb2PtPb2 at its relaxed geometry (PBE, Alexandria via LeMat-Bulk).

Output
- V: 171.5 Å³/f.u.
- ΔE to the lowest computed polymorph: 0.077 eV per atom
- Total magnetization: 0.00 Bohr magnetons per cell

Unit cell a=7.4085 b=7.4085 c=6.2481 alpha=90.00 beta=90.00 gamma=90.00
Last column: nearest neighbours and their distance in Å.
Fractional positions:
Rb1 0.1826 0.3174 0.0000  6 Pb 3.60-3.97, 5 Rb 3.83-3.84
Rb2 0.3174 0.8174 0.0000  6 Pb 3.60-3.97, 5 Rb 3.83-3.84
Rb3 0.6826 0.1826 0.0000  6 Pb 3.60-3.97, 5 Rb 3.83-3.84
Rb4 0.8174 0.6826 0.0000  6 Pb 3.60-3.97, 5 Rb 3.83-3.84
Pt1 0.0000 0.0000 0.5000  4 Pb 2.83
Pt2 0.5000 0.5000 0.5000  4 Pb 2.83
Pb1 0.1469 0.6469 0.5000  2 Pt 2.83, 1 Pb 3.08
Pb2 0.3531 0.1469 0.5000  2 Pt 2.83, 1 Pb 3.08
Pb3 0.6469 0.8531 0.5000  2 Pt 2.83, 1 Pb 3.08
Pb4 0.8531 0.3531 0.5000  2 Pt 2.83, 1 Pb 3.08

---

# RbPtPb3

Crystalline RbPtPb3 at its relaxed geometry (PBE, Alexandria via LeMat-Bulk).

Output
- V: 153.0 Å³/f.u.
- ΔE to the lowest computed polymorph: 0.027 eV per atom
- Total magnetization: 0.00 Bohr magnetons per cell

Unit cell a=9.6666 b=4.7344 c=13.3761 alpha=90.00 beta=90.00 gamma=90.00
Last column: nearest neighbours and their distance in Å.
Fractional positions:
Rb1 0.1757 0.2500 0.0042  7 Pb 3.55-3.98, 2 Pt 3.93
Rb2 0.3243 0.7500 0.5042  7 Pb 3.55-3.98, 2 Pt 3.93
Rb3 0.6757 0.2500 0.4958  7 Pb 3.55-3.98, 2 Pt 3.93
Rb4 0.8243 0.7500 0.9958  7 Pb 3.55-3.98, 2 Pt 3.93
Pt1 0.0733 0.2500 0.3557  7 Pb 2.86-3.01
Pt2 0.4267 0.7500 0.8557  7 Pb 2.86-3.01
Pt3 0.5733 0.2500 0.1443  7 Pb 2.86-3.01
Pt4 0.9267 0.7500 0.6443  7 Pb 2.86-3.01
Pb1 0.0706 0.2500 0.5789  3 Pt 2.88-2.99
Pb2 0.1307 0.7500 0.2231  2 Pt 3.01, 1 Pb 3.29
Pb3 0.1341 0.7500 0.7966  2 Pt 2.86-2.94
Pb4 0.3659 0.2500 0.2966  2 Pt 2.86-2.94
Pb5 0.3693 0.2500 0.7231  2 Pt 3.01, 1 Pb 3.29
Pb6 0.4294 0.7500 0.0789  3 Pt 2.88-2.99
Pb7 0.5706 0.2500 0.9211  3 Pt 2.88-2.99
Pb8 0.6307 0.7500 0.2769  2 Pt 3.01, 1 Pb 3.29
Pb9 0.6341 0.7500 0.7034  2 Pt 2.86-2.94
Pb10 0.8659 0.2500 0.2034  2 Pt 2.86-2.94
Pb11 0.8693 0.2500 0.7769  2 Pt 3.01, 1 Pb 3.29
Pb12 0.9294 0.7500 0.4211  3 Pt 2.88-2.99

---

# RbPtPb2

Crystalline RbPtPb2 at its relaxed geometry (PBE, Alexandria via LeMat-Bulk).

Output
- V: 169.9 Å³/f.u.
- Total DFT energy (no corrections): -56.8 eV/cell
- Total magnetization: 0.00 Bohr magnetons per cell

Unit cell a=6.1726 b=6.1726 c=17.8358 alpha=90.00 beta=90.00 gamma=90.00
Last column: nearest neighbours and their distance in Å.
Fractional positions:
Rb1 0.0000 0.0000 0.0000  8 Pb 4.10-4.12, 4 Pt 4.36
Rb2 0.0000 0.5000 0.2500  8 Pb 4.10-4.12, 4 Pt 4.36
Rb3 0.5000 0.0000 0.7500  8 Pb 4.10-4.12, 4 Pt 4.36
Rb4 0.5000 0.5000 0.5000  8 Pb 4.10-4.12, 4 Pt 4.36
Pt1 0.0000 0.0000 0.5000  4 Pb 2.71
Pt2 0.0000 0.5000 0.7500  4 Pb 2.71
Pt3 0.5000 0.0000 0.2500  4 Pb 2.71
Pt4 0.5000 0.5000 0.0000  4 Pb 2.71
Pb1 0.0017 0.2500 0.6250  2 Pt 2.71
Pb2 0.2500 0.5017 0.8750  2 Pt 2.71
Pb3 0.2500 0.9983 0.3750  2 Pt 2.71
Pb4 0.4983 0.2500 0.1250  2 Pt 2.71
Pb5 0.5017 0.7500 0.1250  2 Pt 2.71
Pb6 0.7500 0.0017 0.3750  2 Pt 2.71
Pb7 0.7500 0.4983 0.8750  2 Pt 2.71
Pb8 0.9983 0.7500 0.6250  2 Pt 2.71

---

# Rb4PtPb5

Crystalline Rb4PtPb5 at its relaxed geometry (PBE, Alexandria via LeMat-Bulk).

Output
- V: 420.8 Å³/f.u.
- Total DFT energy (no corrections): -30.0 eV/cell
- Total magnetization: 0.00 Bohr magnetons per cell

Unit cell a=8.5875 b=8.5875 c=8.5875 alpha=98.88 beta=98.88 gamma=133.73
Last column: nearest neighbours and their distance in Å.
Fractional positions:
Rb1 0.0000 0.2967 0.2967  5 Pb 3.58-3.99, 1 Pt 3.64
Rb2 0.0000 0.7033 0.7033  5 Pb 3.58-3.99, 1 Pt 3.64
Rb3 0.2967 0.0000 0.2967  5 Pb 3.58-3.99, 1 Pt 3.64
Rb4 0.7033 0.0000 0.7033  5 Pb 3.58-3.99, 1 Pt 3.64
Pt1 0.7757 0.7757 0.0000  5 Pb 2.86-2.87
Pb1 0.1990 0.1990 0.0000  1 Pt 2.86
Pb2 0.3799 0.3799 0.7050  1 Pt 2.87
Pb3 0.3799 0.6749 0.0000  1 Pt 2.87
Pb4 0.6749 0.3799 0.0000  1 Pt 2.87
Pb5 0.6749 0.6749 0.2950  1 Pt 2.87

---

# Rb2PtPb6

Crystalline Rb2PtPb6 at its relaxed geometry (PBE, Alexandria via LeMat-Bulk).

Output
- V: 299.2 Å³/f.u.
- Total DFT energy (no corrections): -31.5 eV/cell
- Total magnetization: 0.00 Bohr magnetons per cell

Unit cell a=7.1878 b=7.1878 c=6.6868 alpha=90.00 beta=90.00 gamma=120.00
Last column: nearest neighbours and their distance in Å.
Fractional positions:
Rb1 0.3333 0.6667 0.1564  12 Pb 3.74-4.15
Rb2 0.6667 0.3333 0.8436  12 Pb 3.74-4.15
Pt1 0.0000 0.0000 0.0000  6 Pb 2.89
Pb1 0.1619 0.3238 0.6893  1 Pt 2.89, 2 Pb 3.24
Pb2 0.1619 0.8381 0.6893  1 Pt 2.89, 2 Pb 3.24
Pb3 0.3238 0.1619 0.3107  1 Pt 2.89, 2 Pb 3.24
Pb4 0.6762 0.8381 0.6893  1 Pt 2.89, 2 Pb 3.24
Pb5 0.8381 0.1619 0.3107  1 Pt 2.89, 2 Pb 3.24
Pb6 0.8381 0.6762 0.3107  1 Pt 2.89, 2 Pb 3.24

---

# Rb2Pt7Pb12

Crystalline Rb2Pt7Pb12 at its relaxed geometry (PBE, Alexandria via LeMat-Bulk).

Output
- V: 555.6 Å³/f.u.
- Total DFT energy (no corrections): -92.5 eV/cell
- Total magnetization: 0.00 Bohr magnetons per cell

Unit cell a=11.7691 b=11.7691 c=4.6316 alpha=90.00 beta=90.00 gamma=120.00
Last column: nearest neighbours and their distance in Å.
Fractional positions:
Rb1 0.0000 0.0000 0.0000  9 Pb 3.72-3.91, 6 Pt 3.94
Rb2 0.3333 0.6667 0.5000  6 Pb 3.59, 6 Pt 3.77
Pt1 0.0705 0.4250 0.0000  5 Pb 2.85-2.89
Pt2 0.2851 0.2526 0.5000  6 Pb 2.83-2.98
Pt3 0.3545 0.9295 0.0000  5 Pb 2.85-2.89
Pt4 0.5750 0.6455 0.0000  5 Pb 2.85-2.89
Pt5 0.6667 0.3333 0.0000  9 Pb 2.89-3.18
Pt6 0.7474 0.0325 0.5000  6 Pb 2.83-2.98
Pt7 0.9675 0.7149 0.5000  6 Pb 2.83-2.98
Pb1 0.0543 0.2700 0.5000  3 Pt 2.83-2.89
Pb2 0.1110 0.6878 0.0000  4 Pt 2.85-2.98
Pb3 0.2158 0.9457 0.5000  3 Pt 2.83-2.89
Pb4 0.3122 0.4232 0.0000  4 Pt 2.85-2.98
Pb5 0.3833 0.1858 0.0000  4 Pt 2.86-2.89
Pb6 0.5581 0.1194 0.5000  3 Pt 2.88-3.18
Pb7 0.5613 0.4419 0.5000  3 Pt 2.88-3.18
Pb8 0.5768 0.8890 0.0000  4 Pt 2.85-2.98
Pb9 0.7300 0.7842 0.5000  3 Pt 2.83-2.89
Pb10 0.8026 0.6167 0.0000  4 Pt 2.86-2.89
Pb11 0.8142 0.1974 0.0000  4 Pt 2.86-2.89
Pb12 0.8806 0.4387 0.5000  3 Pt 2.88-3.18

---

# RbPt2Pb8

Crystalline RbPt2Pb8 at its relaxed geometry (PBE, Alexandria via LeMat-Bulk).

Output
- V: 335.2 Å³/f.u.
- ΔE to the lowest computed polymorph: 0.000 eV per atom
- Total magnetization: 0.00 Bohr magnetons per cell

Unit cell a=7.9686 b=7.9686 c=5.6726 alpha=95.32 beta=95.32 gamma=109.50
Last column: nearest neighbours and their distance in Å.
Fractional positions:
Rb1 0.0000 0.0000 0.0000  8 Pb 3.52-3.60
Pt1 0.3167 0.6833 0.5000  8 Pb 2.90-3.05
Pt2 0.6833 0.3167 0.5000  8 Pb 2.90-3.05
Pb1 0.0757 0.3502 0.6216  2 Pt 2.90-3.05
Pb2 0.2702 0.7298 0.0000  2 Pt 2.90
Pb3 0.3502 0.0757 0.6216  2 Pt 2.90-3.05
Pb4 0.3869 0.3869 0.2221  2 Pt 2.96
Pb5 0.6131 0.6131 0.7779  2 Pt 2.96
Pb6 0.6498 0.9243 0.3784  2 Pt 2.90-3.05
Pb7 0.7298 0.2702 0.0000  2 Pt 2.90
Pb8 0.9243 0.6498 0.3784  2 Pt 2.90-3.05

---

# Rb3Pt2Pb4

Crystalline Rb3Pt2Pb4 at its relaxed geometry (PBE, Alexandria via LeMat-Bulk).

Output
- V: 321.6 Å³/f.u.
- ΔE to the lowest computed polymorph: 0.000 eV per atom
- Total magnetization: 0.00 Bohr magnetons per cell

Unit cell a=7.2235 b=7.2235 c=9.5597 alpha=97.74 beta=97.74 gamma=40.66
Last column: nearest neighbours and their distance in Å.
Fractional positions:
Rb1 0.0000 0.0000 0.0000  8 Pb 3.86-4.02, 4 Rb 4.19
Rb2 0.4127 0.4127 0.3106  3 Pt 3.69-3.80, 8 Pb 3.90-4.05, 1 Rb 4.03
Rb3 0.5873 0.5873 0.6894  3 Pt 3.69-3.80, 8 Pb 3.90-4.05, 1 Rb 4.03
Pt1 0.2770 0.2770 0.6323  4 Pb 2.72-2.78
Pt2 0.7230 0.7230 0.3677  4 Pb 2.72-2.78
Pb1 0.1391 0.1391 0.3943  3 Pt 2.73-2.78
Pb2 0.2831 0.2831 0.9179  1 Pt 2.72
Pb3 0.7169 0.7169 0.0821  1 Pt 2.72
Pb4 0.8609 0.8609 0.6057  3 Pt 2.73-2.78

---

Which of these has the highest V? Rb2Pt7Pb12

---

Please write out number 2 again, unchanged.
# RbPt2Pb4

Crystalline RbPt2Pb4 at its relaxed geometry (PBE, Alexandria via LeMat-Bulk).

Output
- V: 186.3 Å³/f.u.
- ΔE to the lowest computed polymorph: 0.000 eV per atom
- Total magnetization: 0.00 Bohr magnetons per cell

Unit cell a=20.1071 b=4.8355 c=7.6631 alpha=90.00 beta=90.00 gamma=90.00
Last column: nearest neighbours and their distance in Å.
Fractional positions:
Rb1 0.1411 0.2500 0.0036  8 Pb 3.43-3.69, 4 Pt 3.76-3.81
Rb2 0.3589 0.7500 0.5036  8 Pb 3.43-3.69, 4 Pt 3.76-3.81
Rb3 0.6411 0.2500 0.4964  8 Pb 3.43-3.69, 4 Pt 3.76-3.81
Rb4 0.8589 0.7500 0.9964  8 Pb 3.43-3.69, 4 Pt 3.76-3.81
Pt1 0.0349 0.7500 0.2545  7 Pb 2.90-3.06
Pt2 0.2126 0.2500 0.5132  7 Pb 2.90-3.05
Pt3 0.2874 0.7500 0.0132  7 Pb 2.90-3.05
Pt4 0.4651 0.2500 0.7545  7 Pb 2.90-3.06
Pt5 0.5349 0.7500 0.2455  7 Pb 2.90-3.06
Pt6 0.7126 0.2500 0.9868  7 Pb 2.90-3.05
Pt7 0.7874 0.7500 0.4868  7 Pb 2.90-3.05
Pt8 0.9651 0.2500 0.7455  7 Pb 2.90-3.06
Pb1 0.0317 0.7500 0.8579  3 Pt 2.90-3.04
Pb2 0.0688 0.2500 0.4827  4 Pt 2.90-3.06
Pb3 0.1827 0.7500 0.3010  4 Pt 2.98-3.05, 1 Pb 3.21
Pb4 0.1950 0.7500 0.7191  3 Pt 2.91-2.92, 1 Pb 3.21
Pb5 0.3050 0.2500 0.2191  3 Pt 2.91-2.92, 1 Pb 3.21
Pb6 0.3173 0.2500 0.8010  4 Pt 2.98-3.05, 1 Pb 3.21
Pb7 0.4312 0.7500 0.9827  4 Pt 2.90-3.06
Pb8 0.4683 0.2500 0.3579  3 Pt 2.90-3.04
Pb9 0.5317 0.7500 0.6421  3 Pt 2.90-3.04
Pb10 0.5688 0.2500 0.0173  4 Pt 2.90-3.06
Pb11 0.6827 0.7500 0.1990  4 Pt 2.98-3.05, 1 Pb 3.21
Pb12 0.6950 0.7500 0.7809  3 Pt 2.91-2.92, 1 Pb 3.21
Pb13 0.8050 0.2500 0.2809  3 Pt 2.91-2.92, 1 Pb 3.21
Pb14 0.8173 0.2500 0.6990  4 Pt 2.98-3.05, 1 Pb 3.21
Pb15 0.9312 0.7500 0.5173  4 Pt 2.90-3.06
Pb16 0.9683 0.2500 0.1421  3 Pt 2.90-3.04